Record 1
Here is TiPtPb2S after structural relaxation from the Alexandria database. Energies are from PBE.

extended XYZ file:
```
5
Lattice="-1.744 1.890 -4.707 -0.131 -4.130 -1.610 -5.070 -0.494 1.680" Properties=species:S:1:pos:R:3 pbc="T T T"
Pt -3.472 -1.367 -2.318
Pb -2.535 -0.247 0.840
Pb -0.872 0.945 -2.354
S 0.000 0.000 0.000
Ti -0.066 -2.065 -0.805
```

size of the total moment	0.00	Bohr magnetons per cell
DOS(E_F)	0.71	states/eV per atom
formation energy without anion corrections	0.33	eV per atom

=====

Record 2
Here is ScCrCd2 after structural relaxation from the Alexandria database. Energies are from PBE.

extended XYZ file:
```
4
Lattice="5.039 -0.392 0.203 -3.443 6.199 0.053 0.021 1.721 2.789" Properties=species:S:1:pos:R:3 pbc="T T T"
Cd 0.000 0.000 0.000
Cd -1.711 3.960 1.421
Sc 2.530 0.664 1.496
Cr 0.798 2.903 0.128
```

size of the total moment	3.74	Bohr magnetons per cell
DOS(E_F)	0.64	states/eV per atom
offset from the most stable computed form	103.2	meV/atom
DFT formation energy	0.146	eV/atom

=====

Record 3
Here is CaErNi after structural relaxation from the Alexandria database. Energies are from PBE.

extended XYZ file:
```
12
Lattice="4.882 0.000 0.000 0.000 7.138 0.122 -2.441 -0.659 9.833" Properties=species:S:1:pos:R:3 pbc="T T T"
Ca 0.000 0.713 8.136
Ca 2.441 4.519 8.562
Ca 2.441 5.766 1.819
Ca 0.000 1.961 1.393
Er 0.000 4.094 4.120
Er 2.441 2.386 5.835
Er 0.000 0.640 4.539
Er 2.441 5.839 5.416
Ni 2.441 3.254 3.315
Ni 2.441 0.882 3.475
Ni 0.000 3.225 6.641
Ni 0.000 5.597 6.480
```

size of the total moment	0.00	Bohr magnetons per cell
DOS(E_F)	0.73	states/eV per atom
offset from the most stable computed form	42.4	meV/atom
DFT formation energy	-0.129	eV/atom

=====

Record 4
Here is LaPm2TmBi5 after structural relaxation from the Alexandria database. Energies are from PBE.

extended XYZ file:
```
9
Lattice="-0.403 -5.318 0.650 4.057 -0.729 -3.446 7.940 0.527 9.236" Properties=species:S:1:pos:R:3 pbc="T T T"
Bi 5.940 0.394 6.910
Bi 5.998 -0.101 2.895
Bi 1.827 -3.023 -1.398
Bi 3.769 -2.395 4.943
Bi 2.000 0.133 2.327
Pm 7.635 -2.638 5.358
Pm 3.959 -2.882 1.082
Tm 3.970 0.263 4.618
La 0.000 0.000 0.000
```

size of the total moment	0.00	Bohr magnetons per cell
DOS(E_F)	0.79	states/eV per atom
DFT formation energy	-0.190	eV/atom

=====

Record 5
Here is Zr3Hg2 after structural relaxation from the Alexandria database. Energies are from PBE.

extended XYZ file:
```
10
Lattice="-0.988 3.628 4.677 1.965 -5.626 0.705 7.375 1.360 2.316" Properties=species:S:1:pos:R:3 pbc="T T T"
Zr 6.247 0.571 4.826
Zr 0.908 -1.855 4.997
Zr 3.368 2.137 4.457
Zr 3.619 -3.431 2.242
Zr 6.039 -1.484 2.526
Zr 1.935 -0.859 1.928
Hg 4.407 0.955 1.906
Hg 3.698 -1.087 4.427
Hg 0.652 1.019 4.187
Hg 7.942 -2.150 4.837
```

size of the total moment	0.00	Bohr magnetons per cell
DOS(E_F)	0.86	states/eV per atom
DFT formation energy	-0.085	eV/atom

=====

Record 6
Here is PmTlBr2 after structural relaxation from the Alexandria database. Energies are from PBE.

extended XYZ file:
```
4
Lattice="-0.635 4.066 0.152 -1.241 1.760 3.510 9.151 3.368 3.961" Properties=species:S:1:pos:R:3 pbc="T T T"
Br 0.821 6.220 4.419
Br 6.454 2.974 3.205
Pm 0.000 0.000 0.000
Tl 3.638 4.597 3.812
```

size of the total moment	0.00	Bohr magnetons per cell
DOS(E_F)	0.49	states/eV per atom
formation energy without anion corrections	-0.81	eV per atom

=====

Record 7
Here is CaMgRu after structural relaxation from the Alexandria database. Energies are from PBE.

extended XYZ file:
```
3
Lattice="5.793 -0.002 0.002 4.760 3.302 -0.003 1.033 0.329 3.288" Properties=species:S:1:pos:R:3 pbc="T T T"
Mg 3.845 1.207 2.316
Ca 1.175 0.373 3.239
Ru 7.598 2.378 1.020
```

size of the total moment	0.00	Bohr magnetons per cell
DOS(E_F)	1.14	states/eV per atom
DFT formation energy	0.131	eV/atom

=====

Record 8
Here is TmTi12Sb6 after structural relaxation from the Alexandria database. Energies are from PBE.

extended XYZ file:
```
19
Lattice="7.717 -0.051 -0.072 -1.963 7.464 -0.072 -1.963 -2.528 7.023" Properties=species:S:1:pos:R:3 pbc="T T T"
Ti 1.896 -1.464 6.212
Ti -0.297 2.010 2.831
Ti 5.680 3.410 0.666
Ti 1.771 2.281 5.746
Ti 4.089 2.874 4.047
Ti -1.888 5.380 3.439
Ti 5.680 -0.496 3.439
Ti 1.896 6.348 0.666
Ti 2.021 0.211 2.831
Ti 1.771 4.673 4.047
Ti 2.021 2.603 1.132
Ti -1.888 1.474 6.212
Sb -0.839 3.616 5.093
Sb 0.080 4.800 1.785
Sb 4.630 1.268 1.785
Sb 0.080 0.103 5.120
Sb 3.711 0.084 5.093
Sb 3.711 4.781 1.758
Tm 0.000 0.000 0.000
```

size of the total moment	2.65	Bohr magnetons per cell
DOS(E_F)	1.09	states/eV per atom
formation energy without anion corrections	-0.18	eV per atom

=====

Record 9
Here is NaSiSn2As4 after structural relaxation from the Alexandria database. Energies are from PBE.

extended XYZ file:
```
8
Lattice="-4.363 -4.291 2.555 4.711 -0.186 4.663 -2.336 5.822 -1.282" Properties=species:S:1:pos:R:3 pbc="T T T"
Sn -3.291 -0.306 2.472
Sn 1.246 1.747 3.526
As -2.161 -2.562 3.521
As 1.814 -0.764 4.444
As -1.526 1.581 3.489
As -1.695 3.759 -0.022
Na -0.390 0.646 0.419
Si -2.125 3.522 2.287
```

size of the total moment	0.00	Bohr magnetons per cell
DOS(E_F)	0.24	states/eV per atom
formation energy without anion corrections	-0.10	eV per atom

=====

Record 10
Here is Hf2MgSi after structural relaxation from the Alexandria database. Energies are from PBE.

extended XYZ file:
```
8
Lattice="7.625 0.000 0.000 0.000 7.625 0.000 3.813 3.813 2.874" Properties=species:S:1:pos:R:3 pbc="T T T"
Mg 3.813 3.813 0.000
Mg 3.813 7.625 1.437
Si 0.000 0.000 0.000
Si 7.625 3.813 1.437
Hf 9.532 9.748 2.155
Hf 1.690 5.719 0.718
Hf 5.719 5.503 2.155
Hf 5.935 1.906 0.718
```

size of the total moment	0.00	Bohr magnetons per cell
DOS(E_F)	0.89	states/eV per atom
offset from the most stable computed form	195.9	meV/atom
formation energy without anion corrections	0.16	eV per atom

=====

Record 11
Here is TlHgCl3 after structural relaxation from the Alexandria database. Energies are from PBE.

extended XYZ file:
```
10
Lattice="-3.630 1.785 -1.879 -5.049 -2.937 6.960 0.321 6.269 5.334" Properties=species:S:1:pos:R:3 pbc="T T T"
Cl -2.137 2.931 4.967
Cl -1.745 0.654 2.053
Cl -4.660 1.352 8.339
Cl -2.381 6.485 3.523
Cl -5.613 0.913 4.474
Cl -4.905 4.907 6.894
Hg -1.603 5.054 5.949
Hg -5.441 2.785 5.911
Tl -2.783 3.796 1.755
Tl -4.251 4.040 10.111
```

size of the total moment	0.00	Bohr magnetons per cell
DOS(E_F)	0.00	states/eV per atom
formation energy without anion corrections	-0.78	eV per atom

=====

Record 12
Here is InGa2CoOs after structural relaxation from the Alexandria database. Energies are from PBE.

extended XYZ file:
```
5
Lattice="4.957 0.000 0.000 0.000 4.713 0.000 0.000 0.000 4.957" Properties=species:S:1:pos:R:3 pbc="T T T"
Co 0.000 2.356 0.000
Ga 0.000 0.000 2.478
Ga 2.478 0.000 0.000
In 0.000 0.000 0.000
Os 2.478 2.356 2.478
```

size of the total moment	4.11	Bohr magnetons per cell
DOS(E_F)	1.34	states/eV per atom
DFT formation energy	1.861	eV/atom

=====

Record 13
Here is LiTm4Ga3 after structural relaxation from the Alexandria database. Energies are from PBE.

extended XYZ file:
```
8
Lattice="4.786 0.000 1.413 2.184 4.258 1.413 0.029 0.017 8.716" Properties=species:S:1:pos:R:3 pbc="T T T"
Ga 3.499 2.138 5.771
Ga 1.806 1.103 2.694
Ga 5.193 3.172 8.848
Tm 2.662 1.627 8.606
Tm 6.098 3.725 5.782
Tm 0.901 0.551 5.759
Tm 4.337 2.649 2.935
Li 0.000 0.000 0.000
```

size of the total moment	0.00	Bohr magnetons per cell
DOS(E_F)	0.68	states/eV per atom
DFT formation energy	-0.462	eV/atom

=====

Record 14
Here is Ca5H2WN4 after structural relaxation from the Alexandria database. Energies are from PBE.

extended XYZ file:
```
12
Lattice="-1.563 5.546 -0.059 -0.096 -3.072 -4.766 -6.672 -1.866 1.336" Properties=species:S:1:pos:R:3 pbc="T T T"
Ca -6.303 0.624 -2.114
Ca -4.037 1.553 0.642
Ca -1.730 -1.073 -1.364
Ca -2.772 1.611 -2.821
Ca -5.260 -2.061 -0.657
H -4.713 2.428 -1.515
H -4.024 -0.377 -1.990
W -0.637 2.259 -0.024
N -2.334 3.028 0.238
N -0.155 -1.751 -3.217
N -0.631 1.126 -1.576
N -6.261 1.929 1.025
```

size of the total moment	0.00	Bohr magnetons per cell
DOS(E_F)	0.08	states/eV per atom
final energy	-6.026	eV/atom

=====

Record 15
Here is La3ZrF after structural relaxation from the Alexandria database. Energies are from PBE.

extended XYZ file:
```
5
Lattice="-3.608 3.428 -2.990 1.650 -2.570 -4.938 -4.239 -3.918 0.623" Properties=species:S:1:pos:R:3 pbc="T T T"
La -1.804 1.714 -1.495
La -2.119 -1.959 0.312
La 0.825 -1.285 -2.469
Zr 0.000 0.000 0.000
F -3.099 -1.530 -3.652
```

size of the total moment	0.00	Bohr magnetons per cell
DOS(E_F)	4.44	states/eV per atom
offset from the most stable computed form	1004.2	meV/atom
formation energy without anion corrections	0.10	eV per atom

=====

Record 16
Here is CuHg4Pd7 after structural relaxation from the Alexandria database. Energies are from PBE.

extended XYZ file:
```
12
Lattice="4.811 0.000 0.000 2.406 8.428 0.184 2.406 0.553 5.589" Properties=species:S:1:pos:R:3 pbc="T T T"
Hg 4.811 2.271 3.408
Hg 7.217 6.249 4.725
Hg 2.406 2.733 1.048
Hg 4.811 6.711 2.365
Pd 7.217 3.129 4.755
Pd 2.406 5.853 1.018
Pd 4.811 4.814 4.347
Pd 4.811 4.167 1.426
Pd 7.217 8.101 2.701
Pd 2.406 0.881 3.072
Pd 2.406 0.000 0.000
Cu 0.000 0.000 0.000
```

size of the total moment	0.00	Bohr magnetons per cell
DOS(E_F)	0.45	states/eV per atom
DFT formation energy	0.058	eV/atom

=====

Record 17
Here is NdSc4Hg5 after structural relaxation from the Alexandria database. Energies are from PBE.

extended XYZ file:
```
10
Lattice="3.563 0.000 0.000 0.000 3.563 0.000 0.000 0.000 18.136" Properties=species:S:1:pos:R:3 pbc="T T T"
Nd 0.000 0.000 0.000
Sc 0.000 0.000 14.276
Sc 0.000 0.000 7.336
Sc 0.000 0.000 10.801
Sc 0.000 0.000 3.861
Hg 1.781 1.781 2.183
Hg 1.781 1.781 15.953
Hg 1.781 1.781 12.542
Hg 1.781 1.781 5.594
Hg 1.781 1.781 9.068
```

size of the total moment	0.64	Bohr magnetons per cell
DOS(E_F)	0.95	states/eV per atom
DFT formation energy	-0.431	eV/atom

=====

Record 18
Here is Ba6Eu after structural relaxation from the Alexandria database. Energies are from PBE.

extended XYZ file:
```
7
Lattice="8.255 0.000 0.000 -2.752 7.783 0.000 -2.752 -3.892 6.740" Properties=species:S:1:pos:R:3 pbc="T T T"
Ba 4.128 0.000 3.370
Ba 1.376 -0.973 5.055
Ba 1.376 4.864 1.685
Ba 4.128 2.919 1.685
Ba -1.376 0.973 5.055
Ba -1.376 3.892 3.370
Eu 0.000 0.000 0.000
```

size of the total moment	7.21	Bohr magnetons per cell
DOS(E_F)	1.13	states/eV per atom
DFT formation energy	0.836	eV/atom

=====

Record 19
Here is YMg2Os after structural relaxation from the Alexandria database. Energies are from PBE.

extended XYZ file:
```
8
Lattice="4.107 0.000 0.000 0.000 4.107 0.000 2.053 2.053 10.378" Properties=species:S:1:pos:R:3 pbc="T T T"
Mg 3.080 2.929 7.784
Mg 5.134 5.285 7.784
Mg 0.876 3.080 2.595
Mg 3.231 1.027 2.595
Os 0.000 0.000 0.000
Os 4.107 2.053 5.189
Y 2.053 2.053 0.000
Y 2.053 4.107 5.189
```

size of the total moment	0.00	Bohr magnetons per cell
DOS(E_F)	0.64	states/eV per atom
offset from the most stable computed form	386.7	meV/atom
DFT formation energy	0.371	eV/atom

=====

Record 20
Here is KSc3Pt after structural relaxation from the Alexandria database. Energies are from PBE.

extended XYZ file:
```
5
Lattice="-0.693 2.834 3.668 2.711 -2.761 2.645 3.760 2.513 -1.231" Properties=species:S:1:pos:R:3 pbc="T T T"
Sc 1.880 1.257 -0.616
Sc 1.356 -1.380 1.323
Sc -0.347 1.417 1.834
K 0.000 0.000 0.000
Pt 2.889 1.293 2.541
```

size of the total moment	0.00	Bohr magnetons per cell
DOS(E_F)	0.71	states/eV per atom
offset from the most stable computed form	1400.6	meV/atom
DFT formation energy	1.252	eV/atom

=====

Record 21
Here is ZnSb2H after structural relaxation from the Alexandria database. Energies are from PBE.

extended XYZ file:
```
4
Lattice="0.000 3.349 3.349 3.349 0.000 3.349 3.349 3.349 0.000" Properties=species:S:1:pos:R:3 pbc="T T T"
Sb 5.023 5.023 5.023
Sb 1.674 1.674 1.674
Zn 3.349 3.349 3.349
H 0.000 0.000 0.000
```

size of the total moment	0.00	Bohr magnetons per cell
DOS(E_F)	0.42	states/eV per atom
offset from the most stable computed form	158.9	meV/atom

=====

Record 22
Here is U6Pb after structural relaxation from the Alexandria database. Energies are from PBE.

extended XYZ file:
```
7
Lattice="6.200 0.000 0.000 -2.067 5.845 0.000 -2.067 -2.923 5.062" Properties=species:S:1:pos:R:3 pbc="T T T"
U 1.033 -0.731 3.796
U 1.033 3.653 1.265
U -1.033 0.731 3.796
U -1.033 2.923 2.531
U 3.100 0.000 2.531
U 3.100 2.192 1.265
Pb 0.000 0.000 0.000
```

size of the total moment	3.59	Bohr magnetons per cell
DOS(E_F)	3.54	states/eV per atom
DFT formation energy	1.007	eV/atom

=====

Record 23
Here is Hf8MnGa2 after structural relaxation from the Alexandria database. Energies are from PBE.

extended XYZ file:
```
11
Lattice="-1.201 3.107 -3.590 -5.757 -2.723 -0.431 0.983 4.330 6.760" Properties=species:S:1:pos:R:3 pbc="T T T"
Hf -5.058 3.063 1.002
Hf -5.510 0.738 -0.859
Hf -4.275 -2.021 -0.320
Hf -3.207 2.684 3.396
Hf -2.768 2.031 -0.657
Hf -0.916 1.652 1.737
Hf -0.465 3.977 3.598
Hf -1.699 6.736 3.058
Ga -3.810 0.326 1.556
Ga -2.165 4.389 1.183
Mn -0.600 1.554 -1.795
```

size of the total moment	0.00	Bohr magnetons per cell
DOS(E_F)	0.87	states/eV per atom
DFT formation energy	-0.125	eV/atom

=====

Record 24
Here is MgZnRu2 after structural relaxation from the Alexandria database. Energies are from PBE.

extended XYZ file:
```
4
Lattice="2.748 -0.012 0.000 -1.195 2.475 0.000 0.000 0.000 9.057" Properties=species:S:1:pos:R:3 pbc="T T T"
Ru 0.000 0.000 0.076
Ru 0.776 1.231 2.224
Mg 0.776 1.231 6.865
Zn 0.000 0.000 4.420
```

size of the total moment	1.17	Bohr magnetons per cell
DOS(E_F)	0.89	states/eV per atom
DFT formation energy	0.246	eV/atom